Below is a relaxed structure of PaInCoS4, with properties calculated at the PBE level.

calculated total energy = -5.993 eV per atom
formation energy from raw total energies = -0.871 eV/atom
magnetization = 1.81 μB per formula unit

Geometry as CIF:
```
data_PaInCoS4
_chemical_formula_sum 'Pa2 In2 Co2 S8'
_symmetry_space_group_name_H-M 'P 1 21/m 1'
_symmetry_Int_Tables_number 11
_symmetry_space_group_name_Hall '-P 2yb'
_cell_length_a 6.5611
_cell_length_b 5.6801
_cell_length_c 8.7451
_cell_angle_alpha 90.00
_cell_angle_beta 107.00
_cell_angle_gamma 90.00
loop_
_atom_site_label
_atom_site_fract_x
_atom_site_fract_y
_atom_site_fract_z
Pa1 0.2399 0.2500 0.4485
In1 0.2171 0.2500 0.9480
Co1 0.2627 0.7500 0.6640
S1 0.0601 0.7500 0.8291
S2 0.0732 0.7500 0.4098
S3 0.4835 0.5075 0.2933
```

Below is a relaxed structure of PaInCoS3, with properties calculated at the PBE level.

calculated total energy = -6.273 eV per atom
formation energy from raw total energies = -0.986 eV/atom
magnetization = 1.01 μB per formula unit

Geometry as CIF:
```
data_PaInCoS3
_chemical_formula_sum 'Pa4 In4 Co4 S12'
_symmetry_space_group_name_H-M 'C m c m'
_symmetry_Int_Tables_number 63
_symmetry_space_group_name_Hall '-C 2c 2'
_cell_length_a 3.7434
_cell_length_b 14.5887
_cell_length_c 10.0577
_cell_angle_alpha 90.00
_cell_angle_beta 90.00
_cell_angle_gamma 90.00
loop_
_atom_site_label
_atom_site_fract_x
_atom_site_fract_y
_atom_site_fract_z
Pa1 0.0000 0.0000 0.0000
In1 0.0000 0.2477 0.2500
Co1 0.0000 0.4697 0.7500
S1 0.0000 0.0628 0.7500
S2 0.0000 0.3751 0.5702
```

Below is a relaxed structure of PaInCoTc, with properties calculated at the PBE level.

calculated total energy = -7.524 eV per atom
ΔH_f (0 K) = -0.098 eV/atom
magnetization = 0.00 μB per formula unit

Geometry as CIF:
```
data_PaInCoTc
_chemical_formula_sum 'Pa4 In4 Co4 Tc4'
_symmetry_space_group_name_H-M 'F -4 3 m'
_symmetry_Int_Tables_number 216
_symmetry_space_group_name_Hall 'F -4 2 3'
_cell_length_a 6.6063
_cell_length_b 6.6063
_cell_length_c 6.6063
_cell_angle_alpha 90.00
_cell_angle_beta 90.00
_cell_angle_gamma 90.00
loop_
_atom_site_label
_atom_site_fract_x
_atom_site_fract_y
_atom_site_fract_z
Pa1 0.0000 0.0000 0.0000
In1 0.0000 0.0000 0.5000
Co1 0.2500 0.2500 0.7500
Tc1 0.2500 0.2500 0.2500
```

Below is a relaxed structure of PaZnInCo, with properties calculated at the PBE level.

calculated total energy = -5.230 eV per atom
ΔH_f (0 K) = -0.077 eV/atom
magnetization = 0.00 μB per formula unit

Geometry as CIF:
```
data_PaZnInCo
_chemical_formula_sum 'Pa4 Zn4 In4 Co4'
_symmetry_space_group_name_H-M 'F -4 3 m'
_symmetry_Int_Tables_number 216
_symmetry_space_group_name_Hall 'F -4 2 3'
_cell_length_a 6.6612
_cell_length_b 6.6612
_cell_length_c 6.6612
_cell_angle_alpha 90.00
_cell_angle_beta 90.00
_cell_angle_gamma 90.00
loop_
_atom_site_label
_atom_site_fract_x
_atom_site_fract_y
_atom_site_fract_z
Pa1 0.0000 0.0000 0.0000
Zn1 0.2500 0.2500 0.7500
In1 0.0000 0.0000 0.5000
Co1 0.2500 0.2500 0.2500
```

Below is a relaxed structure of In2CoPb, with properties calculated at the PBE level.

calculated total energy = -3.581 eV per atom
ΔH_f (0 K) = 0.492 eV/atom
magnetization = 1.46 μB per formula unit

Geometry as CIF:
```
data_In2CoPb
_chemical_formula_sum 'In4 Co2 Pb2'
_symmetry_space_group_name_H-M 'C 1 2/m 1'
_symmetry_Int_Tables_number 12
_symmetry_space_group_name_Hall '-C 2y'
_cell_length_a 5.9080
_cell_length_b 11.0186
_cell_length_c 3.5218
_cell_angle_alpha 90.00
_cell_angle_beta 126.14
_cell_angle_gamma 90.00
loop_
_atom_site_label
_atom_site_fract_x
_atom_site_fract_y
_atom_site_fract_z
In1 0.2500 0.2500 0.0000
Co1 0.0000 0.0000 0.0000
Pb1 0.0000 0.5000 0.0000
```

Below is a relaxed structure of In2CoPb, with properties calculated at the PBE level.

calculated total energy = -3.874 eV per atom
ΔH_f (0 K) = 0.199 eV/atom
magnetization = 0.69 μB per formula unit

Geometry as CIF:
```
data_In2CoPb
_chemical_formula_sum 'In4 Co2 Pb2'
_symmetry_space_group_name_H-M 'C m m 2'
_symmetry_Int_Tables_number 35
_symmetry_space_group_name_Hall 'C 2 -2'
_cell_length_a 4.5398
_cell_length_b 4.5498
_cell_length_c 8.7939
_cell_angle_alpha 90.00
_cell_angle_beta 90.00
_cell_angle_gamma 90.00
loop_
_atom_site_label
_atom_site_fract_x
_atom_site_fract_y
_atom_site_fract_z
In1 0.0000 0.0000 0.0000
In2 0.0000 0.5000 0.2943
Co1 0.0000 0.0000 0.4626
Pb1 0.0000 0.5000 0.6637
```

Below is a relaxed structure of InCoPb4, with properties calculated at the PBE level.

calculated total energy = -3.450 eV per atom
ΔH_f (0 K) = 0.663 eV/atom
magnetization = 1.95 μB per formula unit

Geometry as CIF:
```
data_InCoPb4
_chemical_formula_sum 'In4 Co4 Pb16'
_symmetry_space_group_name_H-M 'F -4 3 m'
_symmetry_Int_Tables_number 216
_symmetry_space_group_name_Hall 'F -4 2 3'
_cell_length_a 9.0561
_cell_length_b 9.0561
_cell_length_c 9.0561
_cell_angle_alpha 90.00
_cell_angle_beta 90.00
_cell_angle_gamma 90.00
loop_
_atom_site_label
_atom_site_fract_x
_atom_site_fract_y
_atom_site_fract_z
In1 0.0000 0.0000 0.0000
Co1 0.2500 0.2500 0.2500
Pb1 0.1245 0.1245 0.6245
```

Below is a relaxed structure of In2CoPb, with properties calculated at the PBE level.

calculated total energy = -3.898 eV per atom
ΔH_f (0 K) = 0.175 eV/atom
magnetization = 0.77 μB per formula unit

Geometry as CIF:
```
data_In2CoPb
_chemical_formula_sum 'In2 Co1 Pb1'
_symmetry_space_group_name_H-M 'P 4/m m m'
_symmetry_Int_Tables_number 123
_symmetry_space_group_name_Hall '-P 4 2'
_cell_length_a 3.1668
_cell_length_b 3.1668
_cell_length_c 8.7996
_cell_angle_alpha 90.00
_cell_angle_beta 90.00
_cell_angle_gamma 90.00
loop_
_atom_site_label
_atom_site_fract_x
_atom_site_fract_y
_atom_site_fract_z
In1 0.0000 0.0000 0.1788
Co1 0.5000 0.5000 0.0000
Pb1 0.5000 0.5000 0.5000
```

Below is a relaxed structure of In2CoPb, with properties calculated at the PBE level.

calculated total energy = -3.808 eV per atom
ΔH_f (0 K) = 0.265 eV/atom
magnetization = 0.89 μB per formula unit

Geometry as CIF:
```
data_In2CoPb
_chemical_formula_sum 'In6 Co3 Pb3'
_symmetry_space_group_name_H-M 'R 3 m'
_symmetry_Int_Tables_number 160
_symmetry_space_group_name_Hall 'R 3 -2"'
_cell_length_a 3.3773
_cell_length_b 3.3773
_cell_length_c 28.0724
_cell_angle_alpha 90.00
_cell_angle_beta 90.00
_cell_angle_gamma 120.00
loop_
_atom_site_label
_atom_site_fract_x
_atom_site_fract_y
_atom_site_fract_z
In1 0.0000 0.0000 0.0000
In2 0.0000 0.0000 0.2381
Co1 0.0000 0.0000 0.5076
Pb1 0.0000 0.0000 0.7728
```

Below is a relaxed structure of In2CoPb, with properties calculated at the PBE level.

calculated total energy = -3.754 eV per atom
ΔH_f (0 K) = 0.319 eV/atom
magnetization = 0.74 μB per formula unit

Geometry as CIF:
```
data_In2CoPb
_chemical_formula_sum 'In4 Co2 Pb2'
_symmetry_space_group_name_H-M 'C 1 2/m 1'
_symmetry_Int_Tables_number 12
_symmetry_space_group_name_Hall '-C 2y'
_cell_length_a 8.4350
_cell_length_b 3.5285
_cell_length_c 6.4653
_cell_angle_alpha 90.00
_cell_angle_beta 103.41
_cell_angle_gamma 90.00
loop_
_atom_site_label
_atom_site_fract_x
_atom_site_fract_y
_atom_site_fract_z
In1 0.2265 0.0000 0.1804
Co1 0.0000 0.5000 0.0000
Pb1 0.0000 0.0000 0.5000
```

Below is a relaxed structure of In2CoPb2, with properties calculated at the PBE level.

calculated total energy = -3.628 eV per atom
ΔH_f (0 K) = 0.372 eV/atom
E above lowest polymorph = 0.046 eV per atom
magnetization = 0.85 μB per formula unit

Geometry as CIF:
```
data_In2CoPb2
_chemical_formula_sum 'In4 Co2 Pb4'
_symmetry_space_group_name_H-M 'P 4/m b m'
_symmetry_Int_Tables_number 127
_symmetry_space_group_name_Hall '-P 4 2ab'
_cell_length_a 6.9569
_cell_length_b 6.9569
_cell_length_c 5.5043
_cell_angle_alpha 90.00
_cell_angle_beta 90.00
_cell_angle_gamma 90.00
loop_
_atom_site_label
_atom_site_fract_x
_atom_site_fract_y
_atom_site_fract_z
In1 0.1642 0.3358 0.0000
Co1 0.0000 0.0000 0.5000
Pb1 0.1683 0.6683 0.5000
```

Below is a relaxed structure of In2CoPb, with properties calculated at the PBE level.

calculated total energy = -3.624 eV per atom
ΔH_f (0 K) = 0.449 eV/atom
magnetization = 1.44 μB per formula unit

Geometry as CIF:
```
data_In2CoPb
_chemical_formula_sum 'In4 Co2 Pb2'
_symmetry_space_group_name_H-M 'I -4 m 2'
_symmetry_Int_Tables_number 119
_symmetry_space_group_name_Hall 'I -4 -2'
_cell_length_a 4.5196
_cell_length_b 4.5196
_cell_length_c 8.8145
_cell_angle_alpha 90.00
_cell_angle_beta 90.00
_cell_angle_gamma 90.00
loop_
_atom_site_label
_atom_site_fract_x
_atom_site_fract_y
_atom_site_fract_z
In1 0.0000 0.0000 0.0000
In2 0.0000 0.5000 0.2500
Co1 0.0000 0.0000 0.5000
Pb1 0.0000 0.5000 0.7500
```